DFT (PBE-GGA) results for Ce6CoPb2S after structural relaxation.

Results
Space-group type: Fmmm (69)
Final energy in eV per formula unit: -59.230
Density of states at the Fermi level in states/eV per cell: 25.60
V in Å³ per cell: 290

Cell and atoms, written as POSCAR:
```
Ce6CoPb2S
1.0
0.000 5.247 5.280
5.233 0.000 5.280
5.233 5.247 0.000
Ce Co Pb S
6 1 2 1
Direct
0.247 0.753 0.247 Ce
0.247 0.753 0.753 Ce
0.249 0.249 0.751 Ce
0.751 0.751 0.249 Ce
0.753 0.247 0.247 Ce
0.753 0.247 0.753 Ce
0.000 0.000 0.000 Co
0.250 0.250 0.250 Pb
0.750 0.750 0.750 Pb
0.500 0.500 0.500 S
```